4
Lattice="3.9496 0.0000 0.0000 1.9677 4.0646 0.0000 1.9742 0.6758 7.1527" Properties=species:S:1:pos:R:3 comment="PBE-GGA GeBi, optimized geometry" formation_enthalpy_0k_ev_per_atom=0.17 mass_density_g_cm3=8.14 pbc="T T T"
Ge 0.9876 0.0850 0.8388
Ge 6.9039 4.6554 6.3140
Bi 2.9567 1.7704 2.3642
Bi 4.9348 2.9700 4.7886